FeAg2F | PBE+U | optimized geometry

Cell and atoms, written as POSCAR:
```
FeAg2F
1.0
0.000 3.160 3.160
3.160 0.000 3.160
3.160 3.160 0.000
Fe Ag F
1 2 1
Cartesian
0.000 0.000 0.000
1.580 1.580 1.580
4.740 4.740 4.740
3.160 3.160 3.160
```

Computed properties:
- ΔE to the lowest computed polymorph (meV per atom) = 294.4
- crystal system = cubic